Model A:
DFT (GGA-PBEsol) results for crystalline Sm5Ga3 at its relaxed geometry.

Cell lengths 7.6411, 7.6411, 14.2025 Å; angles 90.00, 90.00, 90.00 degrees
Space group P4/ncc (No. 130, origin choice 2)
Asymmetric unit:
Sm 0.0645 0.5924 0.1027 [16 per cell]
Sm 0.2500 0.2500 0.2205 [4 per cell]
Ga 0.1301 0.6301 0.7500 [8 per cell]
Ga 0.2500 0.2500 0.0061 [4 per cell]

* theoretical density: 7.7 Mg/m³
* calculated volume: 25.91 Å³/atom

Model B:
DFT (GGA-PBEsol) results for crystalline Sm5Ga3 at its relaxed geometry.

Cell lengths 7.6134, 7.6134, 14.2700 Å; angles 90.00, 90.00, 90.00 degrees
Space group I4/mcm (No. 140)
Asymmetric unit:
Sm 0.0000 0.0000 0.0000 [4 per cell]
Sm 0.1732 0.3268 0.1496 [16 per cell]
Ga 0.0000 0.0000 0.2500 [4 per cell]
Ga 0.1181 0.3819 0.5000 [8 per cell]

* theoretical density: 7.7 Mg/m³
* calculated volume: 25.85 Å³/atom

Which one sits at the bottom of the stability order? model B does.

Model A:
DFT (GGA-PBEsol) results for crystalline Zn2Ga2Sn at its relaxed geometry.

Cell lengths 4.0231, 4.0231, 11.3950 Å; angles 90.00, 90.00, 90.00 degrees
Space group I4/mmm (No. 139)
Asymmetric unit:
Zn 0.0000 0.5000 0.2500 [4 per cell]
Ga 0.0000 0.0000 0.1089 [4 per cell]
Sn 0.0000 0.0000 0.5000 [2 per cell]

* theoretical density: 7.0 Mg/m³
* calculated volume: 18.44 Å³/atom

Model B:
DFT (GGA-PBEsol) results for crystalline Zn2Ga2Sn at its relaxed geometry.

Cell lengths 7.8886, 7.8886, 2.9220 Å; angles 90.00, 90.00, 90.00 degrees
Space group P4/mbm (No. 127)
Asymmetric unit:
Zn 0.1664 0.3336 0.0000 [4 per cell]
Ga 0.1303 0.6303 0.5000 [4 per cell]
Sn 0.0000 0.0000 0.5000 [2 per cell]

* theoretical density: 7.1 Mg/m³
* calculated volume: 18.18 Å³/atom

Which one sits at the bottom of the stability order? model B does.